1.
Li2V2F7 PBE+U optimized geometry; magnetization = 10.0 Bohr magnetons per cell; E = -124.6 eV/cell
1.0
-3.525 3.777 5.246
3.525 -3.777 5.246
3.525 3.777 -5.246
F Li V
14 4 4
Direct
0.423 0.090 0.265
0.425 0.661 0.236
0.324 0.658 0.735
0.577 0.910 0.735
0.925 0.688 0.764
0.575 0.339 0.764
0.923 0.658 0.334
0.250 0.099 0.849
0.676 0.342 0.265
0.075 0.312 0.236
0.824 0.090 0.666
0.077 0.342 0.666
0.176 0.910 0.334
0.750 0.901 0.151
0.500 0.500 0.000
0.000 0.000 0.000
0.000 0.500 0.000
0.500 0.500 0.500
0.500 0.000 0.000
0.500 0.000 0.500
0.000 0.500 0.500
0.000 0.000 0.500



2.
LiVF5 PBE+U optimized geometry; magnetization = 2.0 Bohr magnetons per cell; E = -76.5 eV/cell
1.0
-0.172 4.637 -2.615
-5.189 0.614 -1.032
-3.045 5.488 4.295
V F Li
2 10 2
Direct
0.000 0.000 0.000
0.000 0.000 0.500
0.274 0.216 0.870
0.704 0.256 0.459
0.784 0.726 0.630
0.256 0.704 0.959
0.928 0.072 0.750
0.216 0.274 0.370
0.072 0.928 0.250
0.726 0.784 0.130
0.744 0.296 0.041
0.296 0.744 0.541
0.454 0.546 0.750
0.546 0.454 0.250



3.
LiVF5 PBE+U optimized geometry; magnetization = 4.0 Bohr magnetons per cell; E = -151.3 eV/cell
1.0
6.008 -0.342 0.000
-1.264 5.883 0.000
0.000 0.000 11.927
F V Li
20 4 4
Direct
0.027 0.027 0.301
0.676 0.969 0.125
0.183 0.183 0.049
0.633 0.367 0.000
0.367 0.633 0.000
0.527 0.527 0.199
0.133 0.867 0.500
0.531 0.824 0.625
0.317 0.317 0.549
0.867 0.133 0.500
0.324 0.031 0.875
0.969 0.676 0.125
0.031 0.324 0.875
0.817 0.817 0.951
0.683 0.683 0.451
0.973 0.973 0.699
0.824 0.531 0.625
0.473 0.473 0.801
0.176 0.469 0.375
0.469 0.176 0.375
0.827 0.827 0.583
0.673 0.673 0.083
0.173 0.173 0.417
0.327 0.327 0.917
0.341 0.659 0.500
0.659 0.341 0.500
0.841 0.159 0.000
0.159 0.841 0.000



4.
Li3VF PBE+U optimized geometry; magnetization = 5.0 Bohr magnetons per cell; E = -17.9 eV/cell
1.0
-1.658 -3.215 2.161
3.774 -0.810 1.691
-0.875 2.601 3.198
Li F V
3 1 1
Direct
0.500 0.000 0.000
0.000 0.000 0.500
0.000 0.500 0.000
0.000 0.000 0.000
0.500 0.500 0.500



5.
Li2VF4 PBE+U optimized geometry; magnetization = 12.0 Bohr magnetons per cell; E = -153.9 eV/cell
1.0
-3.730 -3.911 -2.789
0.220 -3.667 4.848
-6.775 4.055 3.375
F Li V
16 8 4
Direct
0.498 0.254 0.761
0.021 0.748 0.746
0.979 0.252 0.246
0.748 0.021 0.004
0.252 0.979 0.504
0.979 0.748 0.254
0.746 0.502 0.489
0.254 0.502 0.511
0.502 0.254 0.239
0.746 0.498 0.011
0.498 0.746 0.739
0.254 0.498 0.989
0.748 0.979 0.496
0.502 0.746 0.261
0.252 0.021 0.996
0.021 0.252 0.754
0.717 0.500 0.250
0.283 0.500 0.750
0.252 0.748 0.125
0.748 0.252 0.625
0.748 0.748 0.875
0.500 0.283 0.000
0.500 0.717 0.500
0.252 0.252 0.375
0.000 0.733 0.500
0.000 0.267 0.000
0.267 0.000 0.750
0.733 0.000 0.250



6.
LiV2F5 PBE+U optimized geometry; magnetization = 12.0 Bohr magnetons per cell; E = -95.0 eV/cell
1.0
-5.441 -2.453 0.550
-1.317 -5.629 1.583
-2.136 -0.356 7.436
F V Li
10 4 2
Direct
0.208 0.792 0.250
0.962 0.669 0.650
0.742 0.422 0.056
0.669 0.962 0.150
0.331 0.038 0.850
0.578 0.258 0.444
0.258 0.578 0.944
0.422 0.742 0.556
0.792 0.208 0.750
0.038 0.331 0.350
0.629 0.618 0.286
0.618 0.629 0.786
0.371 0.382 0.714
0.382 0.371 0.214
0.000 0.000 0.500
0.000 0.000 0.000



7.
LiVF3 PBE+U optimized geometry; magnetization = 12.0 Bohr magnetons per cell; E = -113.6 eV/cell
1.0
3.857 6.091 0.003
-3.857 6.091 0.003
0.000 2.350 5.363
V F Li
4 12 4
Direct
0.162 0.339 0.307
0.661 0.838 0.193
0.838 0.661 0.693
0.339 0.162 0.807
0.335 0.029 0.206
0.029 0.335 0.706
0.075 0.785 0.616
0.215 0.925 0.884
0.971 0.665 0.294
0.925 0.215 0.384
0.665 0.971 0.794
0.785 0.075 0.116
0.315 0.416 0.930
0.416 0.315 0.430
0.584 0.685 0.570
0.685 0.584 0.070
0.687 0.313 0.250
0.938 0.062 0.750
0.313 0.687 0.750
0.062 0.938 0.250



8.
LiVF3 PBE+U optimized geometry; magnetization = 6.0 Bohr magnetons per cell; E = -57.0 eV/cell
1.0
5.582 0.000 0.000
0.000 3.265 0.000
0.000 1.637 6.475
F V Li
6 2 2
Direct
0.500 0.834 0.331
0.750 0.496 0.018
0.500 0.166 0.669
0.000 0.834 0.331
0.000 0.166 0.669
0.250 0.504 0.982
0.750 0.332 0.337
0.250 0.668 0.663
0.250 0.933 0.125
0.750 0.067 0.875



9.
Li6VF12 PBE+U optimized geometry; magnetization = 1.1 Bohr magnetons per cell; E = -90.8 eV/cell
1.0
-4.306 1.284 -3.955
-3.421 -2.547 4.201
0.528 5.419 2.488
F Li V
12 6 1
Direct
0.596 0.398 0.177
0.712 0.039 0.891
0.288 0.961 0.109
0.961 0.109 0.288
0.404 0.602 0.823
0.602 0.823 0.404
0.109 0.288 0.961
0.398 0.177 0.596
0.891 0.712 0.039
0.823 0.404 0.602
0.177 0.596 0.398
0.039 0.891 0.712
0.629 0.395 0.841
0.159 0.371 0.605
0.841 0.629 0.395
0.605 0.159 0.371
0.371 0.605 0.159
0.395 0.841 0.629
0.000 0.000 0.000



10.
Li2V3F8 PBE+U optimized geometry; magnetization = 18.0 Bohr magnetons per cell; E = -152.8 eV/cell
1.0
-5.200 2.395 2.870
1.369 -6.555 0.806
4.850 1.898 7.203
F Li V
16 4 6
Direct
0.016 0.032 0.758
0.516 0.032 0.742
0.984 0.968 0.242
0.132 0.767 0.485
0.135 0.767 0.015
0.746 0.491 0.238
0.246 0.491 0.262
0.754 0.509 0.738
0.368 0.233 0.985
0.254 0.509 0.762
0.632 0.767 0.015
0.865 0.233 0.985
0.635 0.767 0.485
0.484 0.968 0.258
0.365 0.233 0.515
0.868 0.233 0.515
0.879 0.759 0.607
0.121 0.241 0.393
0.621 0.241 0.107
0.379 0.759 0.893
0.891 0.283 0.750
0.391 0.283 0.750
0.609 0.717 0.250
0.109 0.717 0.250
0.000 0.000 0.000
0.500 0.000 0.500



11.
LiVF3 PBE+U optimized geometry; magnetization = 12.0 Bohr magnetons per cell; E = -114.9 eV/cell
1.0
-0.998 -1.227 5.125
-0.646 -5.207 -1.372
7.649 -1.262 1.187
V F Li
4 12 4
Direct
0.000 0.500 0.000
0.000 0.500 0.500
0.500 0.000 0.000
0.500 0.000 0.500
0.135 0.397 0.250
0.660 0.337 0.425
0.365 0.897 0.250
0.660 0.337 0.075
0.340 0.663 0.575
0.840 0.837 0.075
0.340 0.663 0.925
0.160 0.163 0.925
0.160 0.163 0.575
0.635 0.103 0.750
0.840 0.837 0.425
0.865 0.603 0.750
0.483 0.521 0.250
0.517 0.479 0.750
0.017 0.021 0.250
0.983 0.979 0.750



12.
LiVF3 PBE+U optimized geometry; magnetization = 12.0 Bohr magnetons per cell; E = -114.2 eV/cell
1.0
7.231 0.053 -0.006
1.274 7.118 -0.006
1.884 1.588 5.224
V Li F
4 4 12
Direct
0.095 0.905 0.750
0.905 0.095 0.250
0.730 0.270 0.750
0.270 0.730 0.250
0.625 0.771 0.834
0.375 0.229 0.166
0.771 0.625 0.334
0.229 0.375 0.666
0.276 0.431 0.308
0.724 0.569 0.692
0.978 0.812 0.168
0.645 0.152 0.153
0.152 0.645 0.653
0.188 0.022 0.332
0.355 0.848 0.847
0.848 0.355 0.347
0.812 0.978 0.668
0.431 0.276 0.808
0.569 0.724 0.192
0.022 0.188 0.832



Which of these has the lowest E? Li2VF4